Entry 1:
First-principles (PBE) data for a relaxed Cs2RbAu7 crystal, as listed in the Open Quantum Materials Database.

For the calculated volume, the calculation gives 580 Å³/cell. The calculation puts the uncorrected energy at -0.2083 Ry per atom.

The space group is Cmmm (No. 65) and the conventional cell measures 5.772, 13.600 and 7.384 Å, with angles of 90.00, 90.00 and 90.00 degrees. The inequivalent atoms are Cs at (0.000, 0.161, 0.000), Rb at (0.000, 0.000, 0.500), Au at (0.000, 0.393, 0.306), Au at (0.000, 0.500, 0.000) and Au at (0.250, 0.250, 0.500).



Entry 2:
First-principles (PBE) data for a relaxed CsRbSbAu crystal, as listed in the Open Quantum Materials Database.

For the calculated volume, the calculation gives 634 Å³/cell. The calculation puts the uncorrected energy at -0.2060 Ry per atom.

The space group is Ama2 (No. 40) and the conventional cell measures 6.936, 8.130 and 11.244 Å, with angles of 90.00, 90.00 and 90.00 degrees. The inequivalent atoms are Cs at (0.250, 0.164, 0.000), Rb at (0.250, 0.165, 0.339), Sb at (0.250, 0.252, 0.667) and Au at (0.000, 0.000, 0.675).



Entry 3:
First-principles (PBE) data for a relaxed Cs3RbSb2Au2 crystal, as listed in the Open Quantum Materials Database.

For the calculated volume, the calculation gives 331 Å³/cell. The calculation puts the uncorrected energy at -0.2057 Ry per atom.

The space group is Pm (No. 6) and the conventional cell measures 6.965, 7.105 and 7.092 Å, with angles of 90.00, 109.46 and 90.00 degrees. The inequivalent atoms are Cs at (0.000, 0.000, 0.000), Cs at (0.009, 0.500, 0.325), Cs at (0.340, 0.000, 0.665), Rb at (0.671, 0.500, 0.658), Sb at (0.266, 0.500, 0.910), Sb at (0.751, 0.000, 0.415) and Au at (0.504, 0.250, 0.168).



Entry 4:
First-principles (PBE) data for a relaxed CsRbSbAu crystal, as listed in the Open Quantum Materials Database.

For the calculated volume, the calculation gives 642 Å³/cell. The calculation puts the uncorrected energy at -0.2061 Ry per atom.

The space group is Amm2 (No. 38) and the conventional cell measures 6.997, 11.303 and 8.112 Å, with angles of 90.00, 90.00 and 90.00 degrees. The inequivalent atoms are Cs at (0.000, 0.170, 0.000), Rb at (0.500, 0.168, 0.668), Sb at (0.000, 0.000, 0.587), Sb at (0.500, 0.000, 0.086) and Au at (0.252, 0.000, 0.338).



Entry 5:
First-principles (PBE) data for a relaxed CsRbSbAu crystal, as listed in the Open Quantum Materials Database.

For the calculated volume, the calculation gives 317 Å³/cell. The calculation puts the uncorrected energy at -0.2064 Ry per atom.

The space group is P2_1/m (No. 11) and the conventional cell measures 6.791, 6.978 and 7.061 Å, with angles of 90.00, 108.58 and 90.00 degrees. The inequivalent atoms are Cs at (0.012, 0.250, 0.156), Rb at (0.331, 0.750, 0.515), Sb at (0.264, 0.250, 0.735) and Au at (0.500, 0.000, 0.000).



Entry 6:
First-principles (PBE) data for a relaxed Cs3Rb2Sb2Au crystal, as listed in the Open Quantum Materials Database.

For the calculated volume, the calculation gives 1059 Å³/cell. The calculation puts the uncorrected energy at -0.1811 Ry per atom.

The space group is R-3m (No. 166, hexagonal axes) and the conventional cell measures 6.3880, 6.3880 and 29.9598 Å, with angles of 90.00, 90.00 and 120.00 degrees. The inequivalent atoms are Cs at (0.0000, 0.0000, 0.0000), Cs at (0.0000, 0.0000, 0.1364), Rb at (0.0000, 0.0000, 0.2839), Sb at (0.0000, 0.0000, 0.4098) and Au at (0.0000, 0.0000, 0.5000).



Entry 7:
First-principles (PBE) data for a relaxed CsRb2Sb2Au3 crystal, as listed in the Open Quantum Materials Database.

For the calculated volume, the calculation gives 820 Å³/cell. The calculation puts the uncorrected energy at -0.2270 Ry per atom.

The space group is R-3m (No. 166, hexagonal axes) and the conventional cell measures 6.5640, 6.5640 and 21.9872 Å, with angles of 90.00, 90.00 and 120.00 degrees. The inequivalent atoms are Cs at (0.0000, 0.0000, 0.0000), Rb at (0.0000, 0.0000, 0.4186), Sb at (0.0000, 0.0000, 0.2535) and Au at (0.0000, 0.5000, 0.5000).



Entry 8:
First-principles (PBE) data for a relaxed Cs2Rb2Sn2Au7 crystal, as listed in the Open Quantum Materials Database.

For the calculated volume, the calculation gives 1246 Å³/cell. The calculation puts the uncorrected energy at -0.2219 Ry per atom.

The space group is R-3m (No. 166, hexagonal axes) and the conventional cell measures 6.9736, 6.9736 and 29.5801 Å, with angles of 90.00, 90.00 and 120.00 degrees. The inequivalent atoms are Cs at (0.0000, 0.0000, 0.1852), Rb at (0.0000, 0.0000, 0.3132), Sn at (0.0000, 0.0000, 0.0498), Au at (0.0000, 0.0000, 0.5000) and Au at (0.0640, 0.5320, 0.2451).



Entry 9:
First-principles (PBE) data for a relaxed Cs2Rb2Sn2Au7 crystal, as listed in the Open Quantum Materials Database.

For the calculated volume, the calculation gives 1245 Å³/cell. The calculation puts the uncorrected energy at -0.2223 Ry per atom.

The space group is R-3m (No. 166, hexagonal axes) and the conventional cell measures 6.9525, 6.9525 and 29.7518 Å, with angles of 90.00, 90.00 and 120.00 degrees. The inequivalent atoms are Cs at (0.0000, 0.0000, 0.1879), Rb at (0.0000, 0.0000, 0.3164), Sn at (0.0000, 0.0000, 0.4498), Au at (0.0000, 0.0000, 0.0000) and Au at (0.0602, 0.5301, 0.7425).



Entry 10:
First-principles (PBE) data for a relaxed CsRbTe2Au2 crystal, as listed in the Open Quantum Materials Database.

For the calculated volume, the calculation gives 230 Å³/cell. The calculation puts the uncorrected energy at -0.2306 Ry per atom.

The space group is Pmm2 (No. 25) and the conventional cell measures 5.204, 6.034 and 7.312 Å, with angles of 90.00, 90.00 and 90.00 degrees. The inequivalent atoms are Cs at (0.000, 0.000, 0.000), Rb at (0.000, 0.500, 0.414), Te at (0.500, 0.000, 0.410), Te at (0.500, 0.500, 0.004) and Au at (0.500, 0.251, 0.705).



Entry 11:
First-principles (PBE) data for a relaxed CsReAu crystal, as listed in the Open Quantum Materials Database.

For the calculated volume, the calculation gives 430 Å³/cell. The calculation puts the uncorrected energy at -0.2637 Ry per atom.

The space group is F-43m (No. 216) and the conventional cell measures 7.551, 7.551 and 7.551 Å, with angles of 90.00, 90.00 and 90.00 degrees. The inequivalent atoms are Cs at (0.000, 0.000, 0.000), Re at (0.000, 0.000, 0.500) and Au at (0.250, 0.250, 0.250).



Entry 12:
First-principles (PBE) data for a relaxed CsReAu crystal, as listed in the Open Quantum Materials Database.

For the calculated volume, the calculation gives 339 Å³/cell. The calculation puts the uncorrected energy at -0.2584 Ry per atom.

The space group is F-43m (No. 216) and the conventional cell measures 6.975, 6.975 and 6.975 Å, with angles of 90.00, 90.00 and 90.00 degrees. The inequivalent atoms are Cs at (0.000, 0.000, 0.000), Re at (0.250, 0.250, 0.750) and Au at (0.000, 0.000, 0.500).



Entry 13:
First-principles (PBE) data for a relaxed CsReAu crystal, as listed in the Open Quantum Materials Database.

For the calculated volume, the calculation gives 557 Å³/cell. The calculation puts the uncorrected energy at -0.2298 Ry per atom.

The space group is F-43m (No. 216) and the conventional cell measures 8.230, 8.230 and 8.230 Å, with angles of 90.00, 90.00 and 90.00 degrees. The inequivalent atoms are Cs at (0.000, 0.000, 0.000), Re at (0.250, 0.250, 0.250) and Au at (0.250, 0.250, 0.750).